Record 1
{"formula": "KRe2Rh", "functional": "PBE", "state": "optimized geometry", "lattice": [[-1.018, 3.865, 6.679], [-0.238, -6.750, 3.869], [1.974, -1.341, 5.612]], "species": ["Re", "Re", "Re", "Re", "K", "K", "Rh", "Rh"], "fractional_positions": [[0.688, 0.125, 0.250], [0.062, 0.625, 0.250], [0.375, 0.312, 0.750], [0.875, 0.938, 0.750], [0.500, 0.500, 0.000], [0.250, 0.750, 0.500], [0.000, 0.000, 0.000], [0.750, 0.250, 0.500]], "crystal_system": "tetragonal", "n_ef_per_ev_fu": 3.67, "energy_ev_per_cell": -53.097, "relative_energy_ev_per_atom": 1.1026, "e_form_mev_per_atom": 1699, "total_magnetization_mub_per_fu": 0.00, "spacegroup": "No. 122", "rho_g_cm3": 10.74}


Record 2
{"formula": "CsCeCd2Cl8", "functional": "PBE", "state": "optimized geometry", "lattice": [[6.611, 0.762, 0.760], [0.816, 6.757, 0.911], [1.026, 1.243, 9.556]], "species": ["Cs", "Ce", "Cd", "Cd", "Cl", "Cl", "Cl", "Cl", "Cl", "Cl", "Cl", "Cl"], "fractional_positions": [[0.000, 0.000, 0.500], [0.000, 0.000, 0.000], [0.460, 0.450, 0.715], [0.540, 0.550, 0.285], [0.166, 0.709, 0.231], [0.710, 0.760, 0.039], [0.749, 0.213, 0.204], [0.834, 0.291, 0.769], [0.290, 0.240, 0.961], [0.251, 0.787, 0.796], [0.614, 0.710, 0.472], [0.386, 0.290, 0.528]], "crystal_system": "triclinic", "n_ef_per_ev_fu": 3.40, "energy_ev_per_cell": -42.439, "total_magnetization_mub_per_fu": 1.00, "e_form_raw_ev_per_atom": -1.587, "spacegroup": "No. 2", "rho_g_cm3": 3.17}


Record 3
{"formula": "Al2HgN", "functional": "PBE", "state": "optimized geometry", "lattice": [[5.538, 0.000, 0.000], [0.000, 5.538, 0.000], [2.769, 2.769, 4.369]], "species": ["N", "N", "Hg", "Hg", "Al", "Al", "Al", "Al"], "fractional_positions": [[0.500, 0.500, 0.000], [0.250, 0.750, 0.500], [0.000, 0.000, 0.000], [0.750, 0.250, 0.500], [0.515, 0.125, 0.250], [0.235, 0.625, 0.250], [0.375, 0.485, 0.750], [0.875, 0.765, 0.750]], "crystal_system": "tetragonal", "n_ef_per_ev_fu": 1.24, "energy_ev_per_cell": -34.597, "relative_energy_ev_per_atom": 0.0000, "total_magnetization_mub_per_fu": 0.00, "e_form_raw_ev_per_atom": -0.297, "spacegroup": "No. 122", "rho_g_cm3": 6.66}


Record 4
{"formula": "CuRuPt6", "functional": "PBE", "state": "optimized geometry", "lattice": [[-0.932, 3.823, -0.078], [-1.009, -0.323, -3.790], [-7.295, -1.736, 2.091]], "species": ["Cu", "Ru", "Pt", "Pt", "Pt", "Pt", "Pt", "Pt"], "fractional_positions": [[0.000, 0.000, 0.000], [0.000, 0.000, 0.500], [0.500, 0.500, 0.000], [0.500, 0.500, 0.500], [0.500, 0.000, 0.250], [0.500, 0.000, 0.750], [0.000, 0.500, 0.250], [0.000, 0.500, 0.750]], "crystal_system": "tetragonal", "n_ef_per_ev_fu": 11.10, "energy_ev_per_cell": -50.001, "e_form_mev_per_atom": -48, "total_magnetization_mub_per_fu": 0.01, "spacegroup": "No. 123", "rho_g_cm3": 18.39}


Record 5
{"formula": "Mg3Si4", "functional": "PBE", "state": "optimized geometry", "lattice": [[4.508, 0.074, 0.049], [0.218, 7.363, 0.237], [0.351, 3.274, 7.683]], "species": ["Mg", "Mg", "Mg", "Mg", "Mg", "Mg", "Si", "Si", "Si", "Si", "Si", "Si", "Si", "Si"], "fractional_positions": [[0.170, 0.819, 0.465], [0.652, 0.956, 0.188], [0.718, 0.418, 0.094], [0.185, 0.658, 0.171], [0.696, 0.103, 0.518], [0.668, 0.250, 0.801], [0.220, 0.231, 0.299], [0.194, 0.355, 0.560], [0.666, 0.668, 0.696], [0.168, 0.499, 0.786], [0.143, 0.158, 0.025], [0.673, 0.829, 0.898], [0.681, 0.565, 0.433], [0.170, 0.990, 0.819]], "crystal_system": "triclinic", "n_ef_per_ev_fu": 2.21, "energy_ev_per_cell": -51.333, "relative_energy_ev_per_atom": 0.0635, "total_magnetization_mub_per_fu": 0.00, "e_form_raw_ev_per_atom": 0.116, "spacegroup": "No. 1", "rho_g_cm3": 2.45}


Record 6
{"formula": "NaHBr3", "functional": "PBE", "state": "optimized geometry", "lattice": [[7.698, -0.152, -0.437], [-0.133, 7.933, 0.021], [-1.211, 0.076, 10.427]], "species": ["Na", "Na", "Na", "Na", "H", "H", "H", "H", "Br", "Br", "Br", "Br", "Br", "Br", "Br", "Br", "Br", "Br", "Br", "Br"], "fractional_positions": [[0.021, 0.675, 0.156], [0.545, 0.175, 0.147], [0.979, 0.325, 0.844], [0.455, 0.825, 0.853], [0.517, 0.634, 0.180], [0.168, 0.094, 0.313], [0.483, 0.366, 0.820], [0.832, 0.906, 0.687], [0.991, 0.721, 0.626], [0.333, 0.176, 0.888], [0.009, 0.279, 0.374], [0.667, 0.824, 0.112], [0.709, 0.034, 0.720], [0.599, 0.498, 0.765], [0.291, 0.966, 0.280], [0.401, 0.502, 0.235], [0.853, 0.770, 0.401], [0.873, 0.330, 0.108], [0.147, 0.230, 0.599], [0.127, 0.670, 0.892]], "crystal_system": "triclinic", "n_ef_per_ev_fu": 0.00, "energy_ev_per_cell": -52.706, "relative_energy_ev_per_atom": 0.0000, "total_magnetization_mub_per_fu": 0.00, "spacegroup": "No. 2", "rho_g_cm3": 2.77}


Record 7
{"formula": "ZnCo2Os2", "functional": "PBE", "state": "optimized geometry", "lattice": [[-2.530, 5.277, 4.146], [-4.855, 1.619, -5.024], [-1.679, -1.659, 1.087]], "species": ["Co", "Co", "Co", "Co", "Zn", "Zn", "Os", "Os", "Os", "Os"], "fractional_positions": [[0.383, 0.883, 0.000], [0.883, 0.617, 0.000], [0.617, 0.117, 0.000], [0.117, 0.383, 0.000], [0.000, 0.000, 0.000], [0.500, 0.500, 0.000], [0.178, 0.678, 0.500], [0.678, 0.822, 0.500], [0.822, 0.322, 0.500], [0.322, 0.178, 0.500]], "crystal_system": "tetragonal", "n_ef_per_ev_fu": 6.96, "energy_ev_per_cell": -72.148, "relative_energy_ev_per_atom": 0.0000, "e_form_mev_per_atom": 374, "total_magnetization_mub_per_fu": 0.00, "spacegroup": "No. 127", "rho_g_cm3": 14.00}


Record 8
{"formula": "InSi4Te", "functional": "PBE", "state": "optimized geometry", "lattice": [[-1.402, -4.206, -3.174], [-5.088, -1.954, 0.154], [-3.348, 0.777, -4.234]], "species": ["In", "Si", "Si", "Si", "Si", "Te"], "fractional_positions": [[0.000, 0.000, 0.000], [0.877, 0.374, 0.374], [0.374, 0.374, 0.877], [0.374, 0.877, 0.374], [0.374, 0.374, 0.374], [0.750, 0.750, 0.750]], "crystal_system": "cubic", "n_ef_per_ev_fu": 3.05, "energy_ev_per_cell": -24.387, "total_magnetization_mub_per_fu": 0.00, "e_form_raw_ev_per_atom": 0.531, "spacegroup": "No. 216", "rho_g_cm3": 5.14}


Record 9
{"formula": "Pm6PuHg5", "functional": "PBE", "state": "optimized geometry", "lattice": [[5.162, 0.022, -1.507], [-1.065, 6.819, -3.551], [-0.085, 0.419, 9.312]], "species": ["Pu", "Hg", "Hg", "Hg", "Hg", "Hg", "Pm", "Pm", "Pm", "Pm", "Pm", "Pm"], "fractional_positions": [[0.000, 0.000, 0.000], [0.657, 0.157, 0.313], [0.331, 0.331, 0.662], [0.000, 0.500, 0.000], [0.669, 0.669, 0.338], [0.343, 0.843, 0.687], [0.832, 0.581, 0.665], [0.832, 0.084, 0.665], [0.500, 0.736, 0.000], [0.500, 0.264, 0.000], [0.168, 0.916, 0.335], [0.168, 0.419, 0.335]], "crystal_system": "orthorhombic", "n_ef_per_ev_fu": 16.87, "energy_ev_per_cell": -48.486, "e_form_mev_per_atom": -345, "total_magnetization_mub_per_fu": 8.32, "spacegroup": "No. 71", "rho_g_cm3": 10.48}


Record 10
{"formula": "Pu4HRh3", "functional": "PBE", "state": "optimized geometry", "lattice": [[5.869, 0.000, 0.000], [-1.956, 5.534, 0.000], [-1.956, -2.767, 4.792]], "species": ["Pu", "Pu", "Pu", "Pu", "H", "Rh", "Rh", "Rh"], "fractional_positions": [[0.605, 0.000, 0.000], [0.000, 0.000, 0.605], [0.395, 0.395, 0.395], [0.000, 0.605, 0.000], [0.000, 0.000, 0.000], [0.500, 0.500, 0.000], [0.000, 0.500, 0.500], [0.500, 0.000, 0.500]], "crystal_system": "cubic", "n_ef_per_ev_fu": 23.87, "energy_ev_per_cell": -85.571, "total_magnetization_mub_per_fu": 22.03, "spacegroup": "No. 217", "rho_g_cm3": 13.72}


Record 11
{"formula": "Sn2Sb2PdPt7", "functional": "PBE", "state": "optimized geometry", "lattice": [[3.903, -0.003, 0.015], [0.002, 3.903, 0.015], [1.901, 1.899, 16.265]], "species": ["Sn", "Sn", "Sb", "Sb", "Pd", "Pt", "Pt", "Pt", "Pt", "Pt", "Pt", "Pt"], "fractional_positions": [[0.621, 0.621, 0.758], [0.379, 0.379, 0.242], [0.786, 0.786, 0.429], [0.214, 0.214, 0.571], [0.000, 0.000, 0.000], [0.500, 0.500, 0.000], [0.298, 0.298, 0.405], [0.702, 0.702, 0.595], [0.936, 0.436, 0.128], [0.436, 0.936, 0.128], [0.564, 0.064, 0.872], [0.064, 0.564, 0.872]], "crystal_system": "monoclinic", "n_ef_per_ev_fu": 6.01, "energy_ev_per_cell": -67.308, "total_magnetization_mub_per_fu": 0.00, "e_form_raw_ev_per_atom": -0.298, "spacegroup": "No. 12", "rho_g_cm3": 13.10}


Record 12
{"formula": "TcIrW2", "functional": "PBE", "state": "optimized geometry", "lattice": [[3.956, 0.000, 0.000], [0.000, 3.956, 0.000], [0.000, 0.000, 3.915]], "species": ["Ir", "Tc", "W", "W"], "fractional_positions": [[0.500, 0.000, 0.500], [0.000, 0.500, 0.500], [0.000, 0.000, 0.000], [0.500, 0.500, 0.000]], "crystal_system": "tetragonal", "n_ef_per_ev_fu": 4.98, "energy_ev_per_cell": -45.411, "relative_energy_ev_per_atom": 0.0000, "e_form_mev_per_atom": -69, "total_magnetization_mub_per_fu": 0.00, "spacegroup": "No. 123", "rho_g_cm3": 17.83}